(1)
Below is a relaxed structure of TaIN2O, with properties calculated at the GGA-PBE level.

a = 4.2463 Å, b = 4.2463 Å, c = 3.8964 Å
α = 90.00°, β = 90.00°, γ = 90.00°
Fractional positions:
Ta 0.0000 0.0000 0.0000
I 0.5000 0.5000 0.5000
N 0.0000 0.5000 0.0000
N 0.5000 0.0000 0.0000
O 0.0000 0.0000 0.5000

Properties
- SG = P4/mmm (123)

---

(2)
Below is a relaxed structure of TaIN2O, with properties calculated at the GGA-PBE level.

a = 4.1897 Å, b = 4.1897 Å, c = 3.9418 Å
α = 90.00°, β = 90.00°, γ = 90.00°
Fractional positions:
Ta 0.0000 0.0000 0.0000
I 0.5000 0.5000 0.5000
N 0.0000 0.5000 0.5000
N 0.5000 0.0000 0.5000
O 0.5000 0.5000 0.0000

Properties
- SG = P4/mmm (123)

---

(3)
Below is a relaxed structure of TaI2NO, with properties calculated at the GGA-PBE level.

a = 4.8709 Å, b = 4.8709 Å, c = 3.6760 Å
α = 90.00°, β = 90.00°, γ = 90.00°
Fractional positions:
Ta 0.0000 0.0000 0.0000
I 0.0000 0.5000 0.5000
I 0.5000 0.0000 0.5000
N 0.5000 0.5000 0.0000
O 0.5000 0.5000 0.5000

Properties
- SG = P4/mmm (123)
- excess energy over the best structure of this formula in the dataset (meV/atom) = 1428

---

(4)
Below is a relaxed structure of TaIN2O, with properties calculated at the GGA-PBE level.

a = 4.0553 Å, b = 4.0553 Å, c = 4.0039 Å
α = 90.00°, β = 90.00°, γ = 90.00°
Fractional positions:
Ta 0.0000 0.0000 0.0000
I 0.5000 0.5000 0.0000
N 0.0000 0.5000 0.5000
N 0.5000 0.0000 0.5000
O 0.5000 0.5000 0.5000

Properties
- SG = P4/mmm (123)

---

(5)
Below is a relaxed structure of TaI2NO, with properties calculated at the GGA-PBE level.

a = 5.2280 Å, b = 5.2280 Å, c = 3.9496 Å
α = 90.00°, β = 90.00°, γ = 90.00°
Fractional positions:
Ta 0.0000 0.0000 0.0000
I 0.0000 0.5000 0.5000
I 0.5000 0.0000 0.5000
N 0.0000 0.0000 0.5000
O 0.5000 0.5000 0.0000

Properties
- SG = P4/mmm (123)
- excess energy over the best structure of this formula in the dataset (meV/atom) = 861

---

(6)
Below is a relaxed structure of TcIN2O, with properties calculated at the GGA-PBE level.

a = 3.7393 Å, b = 3.7393 Å, c = 5.8365 Å
α = 90.00°, β = 90.00°, γ = 90.00°
Fractional positions:
Tc 0.0000 0.0000 0.0000
I 0.0000 0.0000 0.5000
N 0.0000 0.5000 0.0000
N 0.5000 0.0000 0.0000
O 0.5000 0.5000 0.5000

Properties
- SG = P4/mmm (123)

---

Number 1: formation energy without anion corrections -14 meV/atom, mass density 8.3 g/cm3, total magnetization 0.00 Bohr magnetons per cell. Number 2: formation energy without anion corrections 1743 meV/atom, mass density 8.4 g/cm3, total magnetization 2.07 Bohr magnetons per cell. Number 3: formation energy without anion corrections 1676 meV/atom, mass density 8.8 g/cm3, total magnetization 0.00 Bohr magnetons per cell. Number 4: formation energy without anion corrections 2028 meV/atom, mass density 8.9 g/cm3, total magnetization 0.28 Bohr magnetons per cell. Number 5: formation energy without anion corrections 1109 meV/atom, mass density 7.1 g/cm3, total magnetization 0.01 Bohr magnetons per cell. Number 6: formation energy without anion corrections 838 meV/atom, mass density 5.5 g/cm3, total magnetization 0.00 Bohr magnetons per cell.